No. 1
Compound: K2RbNaBi
Source: Alexandria
Functional: PBE
Structure: relaxed

POSCAR file:
```
K2RbNaBi
1.0
6.999 0.000 0.000
0.000 6.999 0.000
0.000 0.000 6.168
K Rb Na Bi
2 1 1 1
direct
0.000 0.500 0.000 K
0.500 0.000 0.000 K
0.000 0.000 0.500 Rb
0.500 0.500 0.500 Na
0.500 0.500 0.000 Bi
```

Calculated values
Calculated formation energy   -173 meV per atom
Volume   60.43 Å³ per atom
Polymorph energy (0 for the lowest one)   0 meV per atom
DOS(E_F)   0.67 states/eV per atom
Size of the total moment   0.0 μB per formula unit

No. 2
Compound: LiNi3Ge3
Source: Alexandria
Functional: PBE
Structure: relaxed

POSCAR file:
```
LiNi3Ge3
1.0
6.495 0.000 0.000
0.000 6.495 0.000
0.000 0.000 6.495
Li Ni Ge
2 6 6
direct
0.000 0.000 0.000 Li
0.500 0.500 0.500 Li
0.000 0.250 0.500 Ni
0.000 0.750 0.500 Ni
0.250 0.500 0.000 Ni
0.500 0.000 0.250 Ni
0.500 0.000 0.750 Ni
0.750 0.500 0.000 Ni
0.000 0.500 0.250 Ge
0.000 0.500 0.750 Ge
0.250 0.000 0.500 Ge
0.500 0.250 0.000 Ge
0.500 0.750 0.000 Ge
0.750 0.000 0.500 Ge
```

Calculated values
Calculated formation energy   106 meV per atom
Volume   19.57 Å³ per atom
DOS(E_F)   0.50 states/eV per atom
Size of the total moment   0.0 μB per formula unit

No. 3
Compound: AlFe6Co2
Source: Alexandria
Functional: PBE
Structure: relaxed

POSCAR file:
```
AlFe6Co2
1.0
7.728 -2.638 0.000
7.728 2.638 0.000
-0.898 0.000 5.490
Al Fe Co
2 12 4
direct
0.026 0.974 0.750 Al
0.974 0.026 0.250 Al
0.081 0.622 0.043 Fe
0.082 0.615 0.547 Fe
0.378 0.919 0.457 Fe
0.385 0.918 0.953 Fe
0.426 0.453 0.344 Fe
0.453 0.426 0.844 Fe
0.547 0.574 0.156 Fe
0.574 0.547 0.656 Fe
0.615 0.082 0.047 Fe
0.622 0.081 0.543 Fe
0.918 0.385 0.453 Fe
0.919 0.378 0.957 Fe
0.255 0.257 0.252 Co
0.257 0.255 0.752 Co
0.743 0.745 0.248 Co
0.745 0.743 0.748 Co
```

Calculated values
Calculated formation energy   129 meV per atom
Volume   12.44 Å³ per atom
DOS(E_F)   0.56 states/eV per atom
Size of the total moment   17.6 μB per formula unit

No. 4
Compound: Ta2SnHPt
Source: Alexandria
Functional: PBE
Structure: relaxed

POSCAR file:
```
Ta2SnHPt
1.0
4.031 0.000 0.000
0.000 4.031 0.000
0.000 0.000 4.572
Ta Sn H Pt
2 1 1 1
direct
0.000 0.500 0.000 Ta
0.500 0.000 0.000 Ta
0.000 0.000 0.500 Sn
0.500 0.500 0.000 H
0.500 0.500 0.500 Pt
```

Calculated values
Volume   14.86 Å³ per atom
Final energy   -7.585 eV/atom
DOS(E_F)   0.26 states/eV per atom
Size of the total moment   0.0 μB per formula unit

No. 5
Compound: Pu3Nb
Source: Alexandria
Functional: PBE
Structure: relaxed

POSCAR file:
```
Pu3Nb
1.0
2.906 0.000 0.000
0.000 5.031 0.000
0.000 0.000 5.970
Pu Nb
3 1
direct
0.000 0.000 0.000 Pu
0.000 0.500 0.244 Pu
0.500 0.500 0.739 Pu
0.500 0.000 0.498 Nb
```

Calculated values
Calculated formation energy   297 meV per atom
Volume   21.82 Å³ per atom
Polymorph energy (0 for the lowest one)   0 meV per atom
DOS(E_F)   3.70 states/eV per atom
Size of the total moment   4.9 μB per formula unit

No. 6
Compound: Mn2TlIr2
Source: Alexandria
Functional: PBE
Structure: relaxed

POSCAR file:
```
Mn2TlIr2
1.0
7.465 0.000 0.000
0.000 7.465 0.000
0.000 0.000 2.893
Mn Tl Ir
4 2 4
direct
0.161 0.339 0.000 Mn
0.339 0.839 0.000 Mn
0.661 0.161 0.000 Mn
0.839 0.661 0.000 Mn
0.000 0.000 0.500 Tl
0.500 0.500 0.500 Tl
0.132 0.632 0.500 Ir
0.368 0.132 0.500 Ir
0.632 0.868 0.500 Ir
0.868 0.368 0.500 Ir
```

Calculated values
Calculated formation energy   165 meV per atom
Volume   16.12 Å³ per atom
Polymorph energy (0 for the lowest one)   0 meV per atom
DOS(E_F)   1.10 states/eV per atom
Size of the total moment   6.5 μB per formula unit